(1)
Pa2BeW | GGA-PBE | relaxed

Cell: 11.125 11.125 11.125 Å, 15.33 15.33 15.33°
Atoms (fractional coordinates):
Pa  0.088  0.088  0.088
Pa  0.912  0.912  0.912
Be  0.000  0.000  0.000
W  0.500  0.500  0.500

Calculated values
Formation energy: 0.844 eV per atom

=====

(2)
YPaBe4 | GGA-PBE | relaxed

Cell: 5.007 5.007 5.007 Å, 60.00 60.00 60.00°
Atoms (fractional coordinates):
Y  0.000  0.000  0.000
Pa  0.250  0.250  0.250
Be  0.129  0.624  0.624
Be  0.624  0.129  0.624
Be  0.624  0.624  0.129
Be  0.624  0.624  0.624

Calculated values
Formation energy: 0.176 eV per atom

=====

(3)
PaBeZn11 | GGA-PBE | relaxed

Cell: 6.746 6.746 6.706 Å, 98.09 98.09 135.64°
Atoms (fractional coordinates):
Pa  0.000  0.000  0.000
Be  0.500  0.500  0.500
Zn  0.000  0.000  0.500
Zn  0.000  0.500  0.000
Zn  0.016  0.362  0.358
Zn  0.292  0.504  0.778
Zn  0.362  0.016  0.358
Zn  0.496  0.708  0.222
Zn  0.500  0.000  0.000
Zn  0.504  0.292  0.778
Zn  0.638  0.984  0.642
Zn  0.708  0.496  0.222
Zn  0.984  0.638  0.642

Calculated values
Formation energy: -0.062 eV per atom

=====

(4)
PaBeZn2 | GGA-PBE | relaxed

Cell: 5.502 5.502 5.502 Å, 42.62 42.62 42.62°
Atoms (fractional coordinates):
Pa  0.000  0.000  0.000
Be  0.500  0.500  0.500
Zn  0.209  0.209  0.209
Zn  0.791  0.791  0.791

Calculated values
Formation energy: 0.091 eV per atom

=====

(5)
PaBe17Zn | GGA-PBE | relaxed

Cell: 5.756 5.756 5.756 Å, 83.35 83.35 83.35°
Atoms (fractional coordinates):
Pa  0.000  0.000  0.000
Be  0.148  0.663  0.663
Be  0.316  0.316  0.797
Be  0.316  0.797  0.316
Be  0.370  0.648  0.941
Be  0.370  0.941  0.648
Be  0.499  0.995  0.995
Be  0.556  0.556  0.556
Be  0.648  0.370  0.941
Be  0.648  0.941  0.370
Be  0.663  0.148  0.663
Be  0.663  0.663  0.148
Be  0.751  0.751  0.751
Be  0.797  0.316  0.316
Be  0.941  0.370  0.648
Be  0.941  0.648  0.370
Be  0.995  0.499  0.995
Be  0.995  0.995  0.499
Zn  0.295  0.295  0.295

Calculated values
Formation energy: 0.056 eV per atom

=====

(6)
Pa2BeZn16 | GGA-PBE | relaxed

Cell: 6.740 6.740 6.740 Å, 82.83 82.83 82.83°
Atoms (fractional coordinates):
Pa  0.000  0.000  0.000
Pa  0.327  0.327  0.327
Be  0.768  0.768  0.768
Zn  0.017  0.017  0.504
Zn  0.017  0.504  0.017
Zn  0.154  0.670  0.670
Zn  0.311  0.311  0.820
Zn  0.311  0.820  0.311
Zn  0.370  0.664  0.959
Zn  0.370  0.959  0.664
Zn  0.504  0.017  0.017
Zn  0.571  0.571  0.571
Zn  0.664  0.370  0.959
Zn  0.664  0.959  0.370
Zn  0.670  0.154  0.670
Zn  0.670  0.670  0.154
Zn  0.820  0.311  0.311
Zn  0.959  0.370  0.664
Zn  0.959  0.664  0.370

Calculated values
Formation energy: -0.079 eV per atom

=====

(7)
Pa2Be16Zn | GGA-PBE | relaxed

Cell: 5.921 5.921 5.921 Å, 82.57 82.57 82.57°
Atoms (fractional coordinates):
Pa  0.000  0.000  0.000
Pa  0.314  0.314  0.314
Be  0.153  0.661  0.661
Be  0.317  0.317  0.818
Be  0.317  0.818  0.317
Be  0.377  0.659  0.942
Be  0.377  0.942  0.659
Be  0.502  0.996  0.996
Be  0.659  0.377  0.942
Be  0.659  0.942  0.377
Be  0.661  0.153  0.661
Be  0.661  0.661  0.153
Be  0.761  0.761  0.761
Be  0.818  0.317  0.317
Be  0.942  0.377  0.659
Be  0.942  0.659  0.377
Be  0.996  0.502  0.996
Be  0.996  0.996  0.502
Zn  0.563  0.563  0.563

Calculated values
Formation energy: -0.065 eV per atom

=====

(8)
ZrPaBe4 | GGA-PBE | relaxed

Cell: 4.907 4.907 4.907 Å, 60.00 60.00 60.00°
Atoms (fractional coordinates):
Zr  0.000  0.000  0.000
Pa  0.750  0.750  0.750
Be  0.375  0.375  0.375
Be  0.375  0.375  0.876
Be  0.375  0.876  0.375
Be  0.876  0.375  0.375

Calculated values
Formation energy: 0.056 eV per atom

=====

(9)
ZrPaBe | GGA-PBE | relaxed

Cell: 10.263 9.572 5.353 Å, 81.60 67.33 31.06°
Atoms (fractional coordinates):
Zr  0.046  0.704  0.046
Zr  0.296  0.954  0.296
Zr  0.704  0.046  0.704
Zr  0.954  0.296  0.954
Pa  0.293  0.293  0.457
Pa  0.457  0.457  0.293
Pa  0.543  0.543  0.707
Pa  0.707  0.707  0.543
Be  0.001  0.001  0.249
Be  0.249  0.249  0.001
Be  0.751  0.751  0.999
Be  0.999  0.999  0.751

Calculated values
Formation energy: 0.013 eV per atom
Distance to the lowest polymorph of the same formula: 0 meV/atom

=====

(10)
ZrPaBe | GGA-PBE | relaxed

Cell: 6.653 6.653 6.653 Å, 153.64 153.64 37.62°
Atoms (fractional coordinates):
Zr  0.000  0.000  0.000
Pa  0.711  0.711  0.000
Be  0.363  0.363  0.000

Calculated values
Formation energy: 0.119 eV per atom
Distance to the lowest polymorph of the same formula: 106 meV/atom

=====

(11)
ZrPaBe2 | GGA-PBE | relaxed

Cell: 2.992 2.992 7.469 Å, 90.00 90.00 90.00°
Atoms (fractional coordinates):
Zr  0.000  0.000  0.000
Pa  0.000  0.000  0.500
Be  0.500  0.500  0.235
Be  0.500  0.500  0.765

Calculated values
Formation energy: 0.074 eV per atom

=====

(12)
ZrPaBe | GGA-PBE | relaxed

Cell: 4.688 4.688 3.150 Å, 90.00 90.00 120.00°
Atoms (fractional coordinates):
Zr  0.000  0.000  0.000
Pa  0.667  0.333  0.549
Be  0.333  0.667  0.143

Calculated values
Formation energy: 0.346 eV per atom
Distance to the lowest polymorph of the same formula: 333 meV/atom